Computed, not measured: an optimized crystal structure of HgAuN3 at the GGA-PBE level of DFT.

Lattice parameters (Å, degrees): 4.165 4.165 4.165 90.00 90.00 90.00
Space group Pm-3m (No. 221)
Asymmetric unit:
Hg1 0.000 0.000 0.000
Au1 0.500 0.500 0.500
N1 0.000 0.500 0.500

Values from the calculation:
Spin magnetization in μB/f.u.: 3.47
Energy in eV per atom: -3.36
Raw formation energy in eV/atom: 2.354

---

Computed, not measured: an optimized crystal structure of Sr12Tl3Cl5 at the GGA-PBE level of DFT.

Lattice parameters (Å, degrees): 18.725 18.725 18.725 90.00 90.00 90.00
Space group Ia-3d (No. 230)
Asymmetric unit:
Sr1 0.024 0.067 0.655
Tl1 0.000 0.250 0.125
Cl1 0.000 0.000 0.000
Cl2 0.000 0.250 0.375

Values from the calculation:
Spin magnetization in μB/f.u.: 2.22
Energy in eV per atom: -2.76
Raw formation energy in eV/atom: -0.932

---

Computed, not measured: an optimized crystal structure of La5NdCd3 at the GGA-PBE level of DFT.

Lattice parameters (Å, degrees): 9.6406 9.6406 7.2043 90.00 90.00 120.00
Space group P6_3/mcm (No. 193)
Asymmetric unit:
La1 0.0000 0.3355 0.2500
La2 0.3333 0.6667 0.0000
Nd1 0.0000 0.0000 0.0000
Cd1 0.0000 0.3289 0.7500

Values from the calculation:
Formation energy in eV/atom: -0.176
Spin magnetization in μB/f.u.: 0.00
Energy in eV per atom: -3.75

---

Computed, not measured: an optimized crystal structure of AcGdYSc at the GGA-PBE level of DFT.

Lattice parameters (Å, degrees): 8.113 8.113 8.113 90.00 90.00 90.00
Space group F-43m (No. 216)
Asymmetric unit:
Ac1 0.000 0.000 0.000
Gd1 0.250 0.250 0.750
Y1 0.250 0.250 0.250
Sc1 0.000 0.000 0.500

Values from the calculation:
Formation energy in eV/atom: 0.174
Spin magnetization in μB/f.u.: 8.92
Energy in eV per atom: -7.57

---

Computed, not measured: an optimized crystal structure of Rb2BaSiSe4 at the GGA-PBE level of DFT.

Lattice parameters (Å, degrees): 13.219 12.296 9.769 90.00 132.10 90.00
Space group C2/c (No. 15)
Asymmetric unit:
Rb1 0.000 0.000 0.000
Rb2 0.250 0.250 0.000
Ba1 0.000 0.500 0.000
Si1 0.250 0.250 0.500
Se1 0.111 0.251 0.570
Se2 0.229 0.450 0.463

Values from the calculation:
Spin magnetization in μB/f.u.: 0.00
Energy in eV per atom: -3.78
Raw formation energy in eV/atom: -0.879

---

Computed, not measured: an optimized crystal structure of La6TbTl5 at the GGA-PBE level of DFT.

Lattice parameters (Å, degrees): 5.176 9.329 15.718 90.00 90.00 90.00
Space group Immm (No. 71)
Asymmetric unit:
La1 0.000 0.236 0.000
La2 0.000 0.259 0.327
Tb1 0.000 0.000 0.500
Tl1 0.000 0.000 0.171
Tl2 0.000 0.500 0.150
Tl3 0.000 0.500 0.500

Values from the calculation:
Formation energy in eV/atom: -0.331
Spin magnetization in μB/f.u.: 0.00
Energy in eV per atom: -4.17